Compound: TaV2BiRu
Source: Alexandria
Functional: GGA-PBE
Structure: optimized geometry

Cell lengths 4.7699, 4.7699, 5.1137 Å; angles 90.00, 90.00, 90.00 degrees
Closest atoms and distances in Å follow each position.
Fractional positions:
Ta 0.0000 0.0000 0.0000  2 Bi 2.56
V 0.0000 0.5000 0.5000  2 Bi 2.38
V 0.5000 0.0000 0.5000  2 Bi 2.38
Bi 0.0000 0.0000 0.5000  4 V 2.38, 2 Ta 2.56
Ru 0.5000 0.5000 0.0000  4 Ta 3.37, 8 V 3.50

Results
DFT formation energy: 2.4057 eV/atom
DOS(E_F): 8.5 states/eV/f.u.
Total DFT energy (no corrections): -6.2437 eV/atom
Total moment: 0.002 Bohr magnetons per cell